1.
A geometry-optimized PuGaCo structure, computed with PBE.

abc: 4.490 6.419 7.290
angles: 90.00 90.00 90.00
Site moments in Bohr magnetons follow the coordinates.
Atoms (fractional coordinates):
Pu1 0.250 0.821 0.470  5.14
Pu2 0.750 0.321 0.030  5.14
Pu3 0.250 0.679 0.970  5.14
Pu4 0.750 0.179 0.530  5.14
Ga1 0.750 0.882 0.191  0.01
Ga2 0.750 0.618 0.691  0.01
Ga3 0.250 0.118 0.809  0.01
Ga4 0.250 0.382 0.309  0.01
Co1 0.750 0.553 0.357  -0.61
Co2 0.750 0.947 0.857  -0.61
Co3 0.250 0.053 0.143  -0.61
Co4 0.250 0.447 0.643  -0.61

Values from the calculation:
Space group: Pnma, No. 62
M_tot, μB per formula unit: 4.77
Formation energy, eV per atom: -0.286

2.
A geometry-optimized Pm2TlHg4 structure, computed with PBE.

abc: 5.330 5.330 8.204
angles: 71.04 71.04 60.00
Atoms (fractional coordinates):
Pm1 0.725 0.725 0.825
Pm2 0.275 0.275 0.175
Tl1 0.000 0.000 0.000
Hg1 0.864 0.864 0.409
Hg2 0.136 0.136 0.591
Hg3 0.575 0.575 0.276
Hg4 0.425 0.425 0.724

Values from the calculation:
Polymorph energy (0 for the lowest one), meV per atom: 0
Space group: R-3m, No. 166
M_tot, μB per formula unit: 0.00
Formation energy, eV per atom: -0.306